Computed, not measured: a relaxed K2CaCd crystal at the PBE level of DFT.

The formation energy from the elements comes out at -0.049 eV per atom. The calculation puts the volume at 46.84 Å³/atom.

It has space group P4mm (No. 99), with a = 4.1820 Å, b = 4.1820 Å, c = 10.7139 Å, α = 90.00°, β = 90.00° and γ = 90.00°. The distinct sites, in fractional coordinates, are K at (0.0000, 0.0000, 0.0000), K at (0.5000, 0.5000, 0.3510), Ca at (0.0000, 0.0000, 0.6412) and Cd at (0.5000, 0.5000, 0.7739).


Computed, not measured: a relaxed K2CaCd crystal at the PBE level of DFT.

The formation energy from the elements comes out at 0.126 eV per atom. The calculation puts the volume at 47.36 Å³/atom.

It has space group R-3m (No. 166, hexagonal axes), with a = 4.1000 Å, b = 4.1000 Å, c = 39.0377 Å, α = 90.00°, β = 90.00° and γ = 120.00°. The distinct sites, in fractional coordinates, are K at (0.0000, 0.0000, 0.2402), Ca at (0.0000, 0.0000, 0.0000) and Cd at (0.0000, 0.0000, 0.5000).


Computed, not measured: a relaxed K2CaCd crystal at the PBE level of DFT.

The formation energy from the elements comes out at 0.139 eV per atom. The calculation puts the volume at 44.08 Å³/atom.

It has space group C2/m (No. 12), with a = 7.2822 Å, b = 13.5119 Å, c = 3.9943 Å, α = 90.00°, β = 116.19° and γ = 90.00°. The distinct sites, in fractional coordinates, are K at (0.2500, 0.2500, 0.0000), Ca at (0.0000, 0.0000, 0.5000) and Cd at (0.0000, 0.5000, 0.5000).


Computed, not measured: a relaxed K2CaCd crystal at the PBE level of DFT.

The formation energy from the elements comes out at 0.060 eV per atom. The calculation puts the volume at 47.65 Å³/atom.

It has space group Imm2 (No. 44), with a = 4.2064 Å, b = 6.7296 Å, c = 13.4670 Å, α = 90.00°, β = 90.00° and γ = 90.00°. The distinct sites, in fractional coordinates, are K at (0.0000, 0.0000, 0.0000), K at (0.0000, 0.5000, 0.2006), Ca at (0.0000, 0.5000, 0.7971) and Cd at (0.0000, 0.0000, 0.4790).


Computed, not measured: a relaxed K2CaCd10 crystal at the PBE level of DFT.

The formation energy from the elements comes out at -0.002 eV per atom. The calculation puts the volume at 34.06 Å³/atom.

It has space group Pbam (No. 55), with a = 5.9646 Å, b = 20.8782 Å, c = 7.1114 Å, α = 90.00°, β = 90.00° and γ = 90.00°. The distinct sites, in fractional coordinates, are K at (0.1935, 0.1818, 0.0000), Ca at (0.0000, 0.5000, 0.5000), Cd at (0.0001, 0.0681, 0.5000), Cd at (0.1130, 0.7900, 0.5000), Cd at (0.1212, 0.6536, 0.5000) and Cd at (0.1941, 0.3875, 0.1979).


Computed, not measured: a relaxed K2CaCd crystal at the PBE level of DFT.

The formation energy from the elements comes out at 0.045 eV per atom. The calculation puts the volume at 49.38 Å³/atom.

It has space group Cm (No. 8), with a = 11.6140 Å, b = 4.2501 Å, c = 8.5574 Å, α = 90.00°, β = 110.72° and γ = 90.00°. The distinct sites, in fractional coordinates, are K at (0.0000, 0.0000, 0.0000), K at (0.1818, 0.0000, 0.6840), Ca at (0.3747, 0.0000, 0.3447) and Cd at (0.1598, 0.5000, 0.3418).


Computed, not measured: a relaxed K2CaCd crystal at the PBE level of DFT.

The formation energy from the elements comes out at 0.099 eV per atom. The calculation puts the volume at 42.50 Å³/atom.

It has space group I-4m2 (No. 119), with a = 6.2655 Å, b = 6.2655 Å, c = 8.6617 Å, α = 90.00°, β = 90.00° and γ = 90.00°. The distinct sites, in fractional coordinates, are K at (0.0000, 0.0000, 0.0000), K at (0.0000, 0.5000, 0.2500), Ca at (0.0000, 0.5000, 0.7500) and Cd at (0.0000, 0.0000, 0.5000).


Computed, not measured: a relaxed KCaCd17 crystal at the PBE level of DFT.

The formation energy from the elements comes out at -0.092 eV per atom. The calculation puts the volume at 24.39 Å³/atom.

It has space group R3m (No. 160, hexagonal axes), with a = 10.2890 Å, b = 10.2890 Å, c = 15.1625 Å, α = 90.00°, β = 90.00° and γ = 120.00°. The distinct sites, in fractional coordinates, are K at (0.0000, 0.0000, 0.0000), Ca at (0.0000, 0.0000, 0.3281), Cd at (0.0000, 0.0000, 0.5552), Cd at (0.0000, 0.0000, 0.7567), Cd at (0.0366, 0.3678, 0.3280), Cd at (0.1705, 0.3410, 0.1403), Cd at (0.1743, 0.3487, 0.4978) and Cd at (0.1816, 0.3632, 0.8463).


Computed, not measured: a relaxed KCaCd4 crystal at the PBE level of DFT.

The formation energy from the elements comes out at -0.170 eV per atom. As for the excess energy over the best structure of this formula in the dataset: 0.0 kJ per mole of atoms. The calculation puts the volume at 28.63 Å³/atom.

It has space group Pmmm (No. 47), with a = 3.6843 Å, b = 5.1813 Å, c = 8.9976 Å, α = 90.00°, β = 90.00° and γ = 90.00°. The distinct sites, in fractional coordinates, are K at (0.0000, 0.0000, 0.0000), Ca at (0.0000, 0.5000, 0.5000), Cd at (0.5000, 0.0000, 0.3403) and Cd at (0.5000, 0.5000, 0.1742).


Computed, not measured: a relaxed K2CaCd crystal at the PBE level of DFT.

The formation energy from the elements comes out at 0.142 eV per atom. The calculation puts the volume at 46.13 Å³/atom.

It has space group Cmmm (No. 65), with a = 7.3518 Å, b = 12.3443 Å, c = 4.0663 Å, α = 90.00°, β = 90.00° and γ = 90.00°. The distinct sites, in fractional coordinates, are K at (0.2500, 0.2500, 0.0000), Ca at (0.0000, 0.0000, 0.5000) and Cd at (0.0000, 0.5000, 0.5000).


Computed, not measured: a relaxed K2CaCd crystal at the PBE level of DFT.

The formation energy from the elements comes out at 0.157 eV per atom. The calculation puts the volume at 49.75 Å³/atom.

It has space group I-42d (No. 122), with a = 10.8817 Å, b = 10.8817 Å, c = 6.7216 Å, α = 90.00°, β = 90.00° and γ = 90.00°. The distinct sites, in fractional coordinates, are K at (0.1814, 0.2500, 0.1250), Ca at (0.0000, 0.0000, 0.5000) and Cd at (0.0000, 0.0000, 0.0000).


Computed, not measured: a relaxed KCaCd4 crystal at the PBE level of DFT.

The formation energy from the elements comes out at -0.152 eV per atom. As for the excess energy over the best structure of this formula in the dataset: 1.7 kJ per mole of atoms. The calculation puts the volume at 27.79 Å³/atom.

It has space group F-43m (No. 216), with a = 8.7375 Å, b = 8.7375 Å, c = 8.7375 Å, α = 90.00°, β = 90.00° and γ = 90.00°. The distinct sites, in fractional coordinates, are K at (0.0000, 0.0000, 0.0000), Ca at (0.2500, 0.2500, 0.2500) and Cd at (0.1248, 0.1248, 0.6248).